No. 1
This record from Alexandria via LeMat-Bulk describes crystalline DyGa2Pt9 at its relaxed geometry. The functional is PBE.

Formation enthalpy at 0 K   -61 kJ/mol of atoms
Size of the total moment   0.00 μB per formula unit

The structure in POSCAR format:
```
DyGa2Pt9
1.0
4.025 0.000 0.000
0.000 4.025 0.000
0.000 0.000 11.907
Dy Ga Pt
1 2 9
Direct
0.000 0.000 0.000
0.000 0.000 0.339
0.000 0.000 0.661
0.000 0.500 0.178
0.000 0.500 0.500
0.000 0.500 0.822
0.500 0.000 0.178
0.500 0.000 0.500
0.500 0.000 0.822
0.500 0.500 0.000
0.500 0.500 0.339
0.500 0.500 0.661
```

***

No. 2
This record from Alexandria via LeMat-Bulk describes crystalline Dy3Ga3Pt2 at its relaxed geometry. The functional is PBE.

Formation enthalpy at 0 K   -90 kJ/mol of atoms
Size of the total moment   0.00 μB per formula unit

The structure in POSCAR format:
```
Dy3Ga3Pt2
1.0
8.094 0.000 0.000
0.000 14.878 0.000
0.000 0.000 5.605
Dy Ga Pt
12 12 8
Direct
0.042 0.110 0.121
0.042 0.390 0.121
0.185 0.250 0.635
0.315 0.750 0.135
0.458 0.610 0.621
0.458 0.890 0.621
0.542 0.110 0.379
0.542 0.390 0.379
0.685 0.250 0.865
0.815 0.750 0.365
0.958 0.610 0.879
0.958 0.890 0.879
0.167 0.750 0.634
0.189 0.035 0.613
0.189 0.465 0.613
0.311 0.535 0.113
0.311 0.965 0.113
0.333 0.250 0.134
0.667 0.750 0.866
0.689 0.035 0.887
0.689 0.465 0.887
0.811 0.535 0.387
0.811 0.965 0.387
0.833 0.250 0.366
0.094 0.609 0.373
0.094 0.891 0.373
0.406 0.109 0.873
0.406 0.391 0.873
0.594 0.609 0.127
0.594 0.891 0.127
0.906 0.109 0.627
0.906 0.391 0.627
```

***

No. 3
This record from Alexandria via LeMat-Bulk describes crystalline DyGaPt6 at its relaxed geometry. The functional is PBE.

Formation enthalpy at 0 K   -71 kJ/mol of atoms
Size of the total moment   0.00 μB per formula unit

The structure in POSCAR format:
```
DyGaPt6
1.0
4.067 0.000 0.000
0.000 4.067 0.000
0.000 0.000 7.962
Dy Ga Pt
1 1 6
Direct
0.000 0.000 0.000
0.000 0.000 0.500
0.000 0.500 0.264
0.000 0.500 0.736
0.500 0.000 0.264
0.500 0.000 0.736
0.500 0.500 0.000
0.500 0.500 0.500
```

***

No. 4
This record from Alexandria via LeMat-Bulk describes crystalline Dy2Ga5Pt at its relaxed geometry. The functional is PBE.

Formation enthalpy at 0 K   -58 kJ/mol of atoms
Size of the total moment   0.00 μB per formula unit

The structure in POSCAR format:
```
Dy2Ga5Pt
1.0
5.922 0.000 0.000
0.000 5.922 0.000
0.000 0.000 8.965
Dy Ga Pt
4 10 2
Direct
0.000 0.500 0.000
0.000 0.500 0.500
0.500 0.000 0.000
0.500 0.000 0.500
0.000 0.000 0.428
0.227 0.227 0.749
0.227 0.773 0.749
0.273 0.273 0.249
0.273 0.727 0.249
0.500 0.500 0.928
0.727 0.273 0.249
0.727 0.727 0.249
0.773 0.227 0.749
0.773 0.773 0.749
0.000 0.000 0.099
0.500 0.500 0.599
```

***

No. 5
This record from Alexandria via LeMat-Bulk describes crystalline Dy4Ga16Pt3 at its relaxed geometry. The functional is PBE.

Formation enthalpy at 0 K   -61 kJ/mol of atoms
Size of the total moment   0.00 μB per formula unit

The structure in POSCAR format:
```
Dy4Ga16Pt3
1.0
6.226 0.000 0.000
0.000 6.226 0.000
0.000 0.000 11.072
Dy Ga Pt
4 16 3
Direct
0.000 0.500 0.191
0.000 0.500 0.809
0.500 0.000 0.191
0.500 0.000 0.809
0.000 0.000 0.202
0.000 0.000 0.798
0.209 0.209 0.000
0.209 0.791 0.000
0.247 0.247 0.375
0.247 0.247 0.625
0.247 0.753 0.375
0.247 0.753 0.625
0.500 0.500 0.231
0.500 0.500 0.769
0.753 0.247 0.375
0.753 0.247 0.625
0.753 0.753 0.375
0.753 0.753 0.625
0.791 0.209 0.000
0.791 0.791 0.000
0.000 0.500 0.500
0.500 0.000 0.500
0.500 0.500 0.000
```

***

No. 6
This record from Alexandria via LeMat-Bulk describes crystalline Dy3Ga2Pt7 at its relaxed geometry. The functional is PBE.

Offset from the most stable computed form   101 kJ/mol of formula units
Formation enthalpy at 0 K   -86 kJ/mol of atoms
Size of the total moment   0.00 μB per formula unit

The structure in POSCAR format:
```
Dy3Ga2Pt7
1.0
2.039 -14.717 0.000
2.039 14.717 0.000
0.000 0.000 4.028
Dy Ga Pt
3 2 7
Direct
0.000 0.000 0.000
0.203 0.797 0.000
0.797 0.203 0.000
0.417 0.583 0.500
0.583 0.417 0.500
0.134 0.866 0.500
0.286 0.714 0.500
0.365 0.635 0.000
0.500 0.500 0.500
0.635 0.365 0.000
0.714 0.286 0.500
0.866 0.134 0.500
```